{"formula": "Na4ZnAg4", "functional": "GGA-PBE", "state": "optimized geometry", "cell": [[-2.7416, -0.4406, -4.9310], [6.7791, -3.6381, -0.1972], [-0.6001, -5.5654, 0.8310]], "species": ["Ag", "Ag", "Ag", "Ag", "Na", "Na", "Na", "Na", "Zn"], "frac_coords": [[0.6412, 0.6454, 0.3588], [0.9958, 0.3546, 0.6412], [0.3588, 0.3546, 0.0042], [0.0042, 0.6454, 0.9958], [0.7918, 0.2025, 0.2082], [0.5894, 0.7975, 0.7918], [0.2082, 0.7975, 0.4106], [0.4106, 0.2025, 0.5894], [0.0000, 0.0000, 0.0000]], "crystal_system": "tetragonal", "formation_enthalpy_0k_kj_per_mol_atoms": 12, "dft_energy_ev_per_atom": -1.8683, "dos_ef_per_ev_cell": 3.14}

{"formula": "NaZn2Ag9", "functional": "GGA-PBE", "state": "optimized geometry", "cell": [[6.5310, 0.0000, 3.0067], [3.2655, 8.0089, 1.5034], [-0.0838, 0.0000, 8.7783]], "species": ["Ag", "Ag", "Ag", "Ag", "Ag", "Ag", "Ag", "Ag", "Ag", "Ag", "Ag", "Ag", "Ag", "Ag", "Ag", "Ag", "Ag", "Ag", "Zn", "Zn", "Zn", "Zn", "Na", "Na"], "frac_coords": [[0.0075, 0.9211, 0.6775], [0.0715, 0.9211, 0.3225], [0.7500, 0.5000, 0.5000], [0.0000, 0.0000, 0.0000], [0.4350, 0.4211, 0.8225], [0.6785, 0.1775, 0.5789], [0.7425, 0.8225, 0.5789], [0.7425, 0.5789, 0.8225], [0.6785, 0.5789, 0.1775], [0.3150, 0.0789, 0.6775], [0.0075, 0.6775, 0.9211], [0.6061, 0.3225, 0.0789], [0.4350, 0.8225, 0.4211], [0.6061, 0.0789, 0.3225], [0.1439, 0.1775, 0.4211], [0.0715, 0.3225, 0.9211], [0.1439, 0.4211, 0.1775], [0.3150, 0.6775, 0.0789], [0.3750, 0.7500, 0.7500], [0.8750, 0.2500, 0.7500], [0.8750, 0.2500, 0.2500], [0.8750, 0.7500, 0.2500], [0.5000, 0.0000, 0.0000], [0.2500, 0.5000, 0.5000]], "crystal_system": "tetragonal", "formation_enthalpy_0k_kj_per_mol_atoms": 1, "dft_energy_ev_per_atom": -2.4508, "dos_ef_per_ev_cell": 6.25}

{"formula": "NaZn2Ag2", "functional": "GGA-PBE", "state": "optimized geometry", "cell": [[-5.3683, 5.3179, -2.4408], [-2.2614, -4.9406, -5.7908], [-1.9824, -1.1827, 1.7833]], "species": ["Zn", "Zn", "Zn", "Zn", "Na", "Na", "Ag", "Ag", "Ag", "Ag"], "frac_coords": [[0.3389, 0.1611, 0.5000], [0.1611, 0.6611, 0.5000], [0.6611, 0.8389, 0.5000], [0.8389, 0.3389, 0.5000], [0.0000, 0.0000, 0.0000], [0.5000, 0.5000, 0.0000], [0.1362, 0.3638, 0.0000], [0.8638, 0.6362, 0.0000], [0.3638, 0.8638, 0.0000], [0.6362, 0.1362, 0.0000]], "crystal_system": "tetragonal", "formation_enthalpy_0k_kj_per_mol_atoms": -5, "dft_energy_ev_per_atom": -1.9616, "dos_ef_per_ev_cell": 3.10}

{"formula": "Na2Zn2Ag", "functional": "GGA-PBE", "state": "optimized geometry", "cell": [[3.5729, 0.0000, 0.0000], [0.0000, 3.5729, 0.0000], [1.7865, 1.7865, 9.1887]], "species": ["Ag", "Zn", "Zn", "Na", "Na"], "frac_coords": [[0.0000, 0.0000, 0.0000], [0.7500, 0.2500, 0.5000], [0.2500, 0.7500, 0.5000], [0.3982, 0.3982, 0.2035], [0.6018, 0.6018, 0.7965]], "crystal_system": "tetragonal", "formation_enthalpy_0k_kj_per_mol_atoms": 8, "dft_energy_ev_per_atom": -1.5229, "dos_ef_per_ev_cell": 1.99}

{"formula": "NaZnAg3", "functional": "GGA-PBE", "state": "optimized geometry", "cell": [[-3.8432, -3.3001, -1.7104], [-1.4742, -1.5787, 6.3586], [-3.0988, 5.1559, -2.9850]], "species": ["Ag", "Ag", "Ag", "Ag", "Ag", "Ag", "Na", "Na", "Zn", "Zn"], "frac_coords": [[0.7500, 0.6104, 0.8054], [0.2500, 0.8053, 0.6104], [0.2499, 0.8052, 0.1947], [0.7500, 0.1947, 0.3896], [0.7501, 0.1948, 0.8053], [0.2500, 0.3896, 0.1946], [0.7499, 0.6667, 0.3334], [0.2501, 0.3333, 0.6666], [0.0000, 0.0000, 0.0000], [0.5000, 0.0000, 0.0000]], "crystal_system": "hexagonal", "formation_enthalpy_0k_kj_per_mol_atoms": 5, "dft_energy_ev_per_atom": -2.1743, "dos_ef_per_ev_cell": 3.22}

{"formula": "Na3Zn5Ag2", "functional": "GGA-PBE", "state": "optimized geometry", "cell": [[-2.4601, -2.7700, -3.8822], [-1.2578, -5.2278, 4.4444], [-7.2302, 8.4080, 2.3327]], "species": ["Zn", "Zn", "Zn", "Zn", "Zn", "Zn", "Zn", "Zn", "Zn", "Zn", "Ag", "Ag", "Ag", "Ag", "Na", "Na", "Na", "Na", "Na", "Na"], "frac_coords": [[0.4088, 0.2017, 0.8214], [0.0874, 0.3802, 0.1786], [0.7499, 0.4999, 0.9997], [0.6051, 0.8551, 0.7102], [0.2501, 0.5001, 0.0003], [0.5912, 0.7983, 0.1786], [0.9126, 0.6198, 0.8214], [0.8952, 0.1452, 0.2905], [0.3949, 0.1449, 0.2898], [0.1048, 0.8548, 0.7095], [0.3954, 0.5730, 0.7864], [0.1090, 0.7866, 0.2136], [0.8910, 0.2134, 0.7864], [0.6046, 0.4270, 0.2136], [0.7736, 0.4166, 0.5474], [0.7503, 0.0003, 0.0007], [0.2738, 0.1308, 0.5474], [0.2497, 0.9997, 0.9993], [0.2264, 0.5834, 0.4526], [0.7262, 0.8692, 0.4526]], "crystal_system": "monoclinic", "formation_enthalpy_0k_kj_per_mol_atoms": -1, "dft_energy_ev_per_atom": -1.6156, "dos_ef_per_ev_cell": 6.60}

{"formula": "NaZn2Ag", "functional": "GGA-PBE", "state": "optimized geometry", "cell": [[3.3507, 0.0000, 0.0000], [0.0000, 3.3507, 0.0000], [0.0000, 0.0000, 6.9127]], "species": ["Zn", "Zn", "Na", "Ag"], "frac_coords": [[0.0000, 0.0000, 0.7940], [0.0000, 0.0000, 0.2060], [0.5000, 0.5000, 0.5000], [0.5000, 0.5000, 0.0000]], "crystal_system": "tetragonal", "formation_enthalpy_0k_kj_per_mol_atoms": 4, "dft_energy_ev_per_atom": -1.6368, "dos_ef_per_ev_cell": 1.08}

{"formula": "Na3Zn8Ag", "functional": "GGA-PBE", "state": "optimized geometry", "cell": [[-3.4546, -3.9242, -0.8441], [1.2995, -4.0346, -3.1748], [2.5833, -7.0529, 5.6032]], "species": ["Ag", "Zn", "Zn", "Zn", "Zn", "Zn", "Zn", "Zn", "Zn", "Na", "Na", "Na"], "frac_coords": [[0.8756, 0.8756, 0.3732], [0.1875, 0.1875, 0.4375], [0.4358, 0.4358, 0.1932], [0.9377, 0.9377, 0.6829], [0.6882, 0.6882, 0.9353], [0.9352, 0.4358, 0.1932], [0.4358, 0.9352, 0.1932], [0.4418, 0.9377, 0.6829], [0.9377, 0.4418, 0.6829], [0.9986, 0.9986, 0.0043], [0.5013, 0.5013, 0.4960], [0.3749, 0.3749, 0.8754]], "crystal_system": "trigonal", "formation_enthalpy_0k_kj_per_mol_atoms": -4, "dft_energy_ev_per_atom": -1.4542, "dos_ef_per_ev_cell": 1.11}

{"formula": "NaZn6Ag2", "functional": "GGA-PBE", "state": "optimized geometry", "cell": [[-5.4710, -1.9290, -5.9684], [0.1595, -7.5446, -3.5113], [-6.1040, -5.4418, 1.5506]], "species": ["Na", "Na", "Ag", "Ag", "Ag", "Ag", "Zn", "Zn", "Zn", "Zn", "Zn", "Zn", "Zn", "Zn", "Zn", "Zn", "Zn", "Zn"], "frac_coords": [[0.5000, 0.5000, 0.5000], [0.7500, 0.7500, 0.7500], [0.1250, 0.6250, 0.1250], [0.6250, 0.1250, 0.1250], [0.1250, 0.1250, 0.6250], [0.1250, 0.1250, 0.1250], [0.7440, 0.2560, 0.7440], [0.9940, 0.5060, 0.5060], [0.5060, 0.9940, 0.9940], [0.5060, 0.9940, 0.5060], [0.2560, 0.7440, 0.7440], [0.2560, 0.7440, 0.2560], [0.9940, 0.9940, 0.5060], [0.2560, 0.2560, 0.7440], [0.7440, 0.7440, 0.2560], [0.9940, 0.5060, 0.9940], [0.7440, 0.2560, 0.2560], [0.5060, 0.5060, 0.9940]], "crystal_system": "cubic", "formation_enthalpy_0k_kj_per_mol_atoms": 31, "dft_energy_ev_per_atom": -1.3071, "dos_ef_per_ev_cell": 8.00}

{"formula": "NaZn2Ag2", "functional": "GGA-PBE", "state": "optimized geometry", "cell": [[3.9776, 0.0000, 0.0000], [0.0000, 3.9776, 0.0000], [1.9888, 1.9888, 6.4054]], "species": ["Ag", "Ag", "Na", "Zn", "Zn"], "frac_coords": [[0.3919, 0.3919, 0.2163], [0.6081, 0.6081, 0.7837], [0.0000, 0.0000, 0.0000], [0.2500, 0.7500, 0.5000], [0.7500, 0.2500, 0.5000]], "crystal_system": "tetragonal", "formation_enthalpy_0k_kj_per_mol_atoms": 2, "dft_energy_ev_per_atom": -1.8921, "dos_ef_per_ev_cell": 1.58}

{"formula": "NaZn2Ag4", "functional": "GGA-PBE", "state": "optimized geometry", "cell": [[4.3669, 0.0000, 0.0000], [0.0000, 7.9341, 0.0000], [0.0000, 0.0000, 7.9341]], "species": ["Ag", "Ag", "Ag", "Ag", "Ag", "Ag", "Ag", "Ag", "Zn", "Zn", "Zn", "Zn", "Na", "Na"], "frac_coords": [[0.0000, 0.3482, 0.0975], [0.0000, 0.6518, 0.9025], [0.5000, 0.5975, 0.1518], [0.0000, 0.0975, 0.3482], [0.5000, 0.1518, 0.5975], [0.5000, 0.8482, 0.4025], [0.0000, 0.9025, 0.6518], [0.5000, 0.4025, 0.8482], [0.0000, 0.7814, 0.2186], [0.0000, 0.2186, 0.7814], [0.5000, 0.2814, 0.2814], [0.5000, 0.7186, 0.7186], [0.5000, 0.0000, 0.0000], [0.0000, 0.5000, 0.5000]], "crystal_system": "tetragonal", "formation_enthalpy_0k_kj_per_mol_atoms": -2, "dft_energy_ev_per_atom": -2.2000, "dos_ef_per_ev_cell": 5.81}

{"formula": "NaZn10Ag2", "functional": "GGA-PBE", "state": "optimized geometry", "cell": [[5.5177, 0.0000, 0.0000], [2.7588, 6.1486, 0.0000], [2.7588, 0.0000, 6.4994]], "species": ["Zn", "Zn", "Zn", "Zn", "Zn", "Zn", "Zn", "Zn", "Zn", "Zn", "Ag", "Ag", "Na"], "frac_coords": [[0.9990, 0.6493, 0.3528], [0.0000, 0.0000, 0.5000], [0.3517, 0.6493, 0.6472], [0.0010, 0.3507, 0.6472], [0.7245, 0.7823, 0.7686], [0.5069, 0.2177, 0.7686], [0.4931, 0.7823, 0.2314], [0.5000, 0.0000, 0.5000], [0.6483, 0.3507, 0.3528], [0.2755, 0.2177, 0.2314], [0.0000, 0.5000, 0.0000], [0.5000, 0.5000, 0.0000], [0.0000, 0.0000, 0.0000]], "crystal_system": "orthorhombic", "formation_enthalpy_0k_kj_per_mol_atoms": -1, "dft_energy_ev_per_atom": -1.5304, "dos_ef_per_ev_cell": 4.17}

{"formula": "NaZn3Ag2", "functional": "GGA-PBE", "state": "optimized geometry", "cell": [[-1.1918, 0.6611, -4.2862], [-2.2510, -4.8880, -0.1280], [-2.9250, 4.2724, 1.4722]], "species": ["Ag", "Ag", "Zn", "Zn", "Zn", "Na"], "frac_coords": [[0.5553, 0.3333, 0.6667], [0.5553, 0.6667, 0.3333], [0.0554, 0.5000, 0.0000], [0.0554, 0.0000, 0.5000], [0.0554, 0.5000, 0.5000], [0.5533, 0.0000, 0.0000]], "crystal_system": "hexagonal", "formation_enthalpy_0k_kj_per_mol_atoms": -7, "dft_energy_ev_per_atom": -1.8774, "dos_ef_per_ev_cell": 2.83}

{"formula": "NaZnAg2", "functional": "GGA-PBE", "state": "optimized geometry", "cell": [[4.0053, 0.0000, 0.0000], [0.0000, 4.3005, 0.0000], [0.0000, 0.0000, 4.3005]], "species": ["Ag", "Ag", "Zn", "Na"], "frac_coords": [[0.0000, 0.0000, 0.5000], [0.0000, 0.5000, 0.0000], [0.5000, 0.0000, 0.0000], [0.5000, 0.5000, 0.5000]], "crystal_system": "tetragonal", "formation_enthalpy_0k_kj_per_mol_atoms": 4, "dft_energy_ev_per_atom": -2.0324, "dos_ef_per_ev_cell": 1.18}

{"formula": "Na3ZnAg", "functional": "GGA-PBE", "state": "optimized geometry", "cell": [[5.4883, 0.0000, 0.0000], [0.0000, 5.4883, 0.0000], [0.0000, 0.0000, 5.4883]], "species": ["Na", "Na", "Na", "Zn", "Ag"], "frac_coords": [[0.5000, 0.0000, 0.0000], [0.0000, 0.5000, 0.0000], [0.0000, 0.0000, 0.5000], [0.0000, 0.0000, 0.0000], [0.5000, 0.5000, 0.5000]], "crystal_system": "cubic", "formation_enthalpy_0k_kj_per_mol_atoms": 34, "dft_energy_ev_per_atom": -1.2636, "dos_ef_per_ev_cell": 2.91}

{"formula": "NaZnAg2", "functional": "GGA-PBE", "state": "optimized geometry", "cell": [[-1.4002, 0.0608, 2.6990], [-2.7526, -1.2545, 0.3136], [2.6175, -8.6136, 3.2655]], "species": ["Ag", "Ag", "Zn", "Na"], "frac_coords": [[0.0909, 0.0909, 0.7274], [0.2424, 0.2424, 0.2727], [0.5000, 0.5000, 0.5000], [0.6667, 0.6667, 0.0000]], "crystal_system": "trigonal", "formation_enthalpy_0k_kj_per_mol_atoms": 5, "dft_energy_ev_per_atom": -2.0230, "dos_ef_per_ev_cell": 1.69}

{"formula": "NaZn4Ag5", "functional": "GGA-PBE", "state": "optimized geometry", "cell": [[3.5893, 0.0000, 0.0000], [0.0000, 2.9852, 0.0000], [0.0000, 0.0000, 16.2220]], "species": ["Ag", "Ag", "Ag", "Ag", "Ag", "Zn", "Zn", "Zn", "Zn", "Na"], "frac_coords": [[0.5000, 0.5000, 0.6858], [0.5000, 0.5000, 0.1297], [0.5000, 0.5000, 0.5000], [0.5000, 0.5000, 0.8703], [0.5000, 0.5000, 0.3142], [0.0000, 0.0000, 0.7821], [0.0000, 0.0000, 0.5942], [0.0000, 0.0000, 0.2179], [0.0000, 0.0000, 0.4058], [0.0000, 0.0000, 0.0000]], "crystal_system": "orthorhombic", "formation_enthalpy_0k_kj_per_mol_atoms": -2, "dft_energy_ev_per_atom": -2.0881, "dos_ef_per_ev_cell": 2.19}

{"formula": "Na3ZnAg", "functional": "GGA-PBE", "state": "optimized geometry", "cell": [[-3.1483, -4.6018, 0.5457], [1.7072, -1.7651, -5.0355], [4.3082, -2.6635, 2.3942]], "species": ["Na", "Na", "Na", "Zn", "Ag"], "frac_coords": [[0.5000, 0.0000, 0.0000], [0.0000, 0.0000, 0.5000], [0.0000, 0.5000, 0.0000], [0.5000, 0.5000, 0.5000], [0.0000, 0.0000, 0.0000]], "crystal_system": "cubic", "formation_enthalpy_0k_kj_per_mol_atoms": 26, "dft_energy_ev_per_atom": -1.3488, "dos_ef_per_ev_cell": 2.70}

{"formula": "NaZn2Ag", "functional": "GGA-PBE", "state": "optimized geometry", "cell": [[-2.7705, -0.0613, -3.6262], [-0.9905, -3.9748, 3.6959], [-4.4040, 4.1606, 3.2944]], "species": ["Na", "Na", "Zn", "Zn", "Zn", "Zn", "Ag", "Ag"], "frac_coords": [[0.9189, 0.8378, 0.2500], [0.0811, 0.1622, 0.7500], [0.3743, 0.7486, 0.9383], [0.3743, 0.7486, 0.5617], [0.6257, 0.2514, 0.0617], [0.6257, 0.2514, 0.4383], [0.7872, 0.5744, 0.7500], [0.2128, 0.4256, 0.2500]], "crystal_system": "orthorhombic", "formation_enthalpy_0k_kj_per_mol_atoms": -2, "dft_energy_ev_per_atom": -1.6995, "dos_ef_per_ev_cell": 2.78}

{"formula": "Na2Zn2Ag", "functional": "GGA-PBE", "state": "optimized geometry", "cell": [[-0.5525, 2.3194, 3.1396], [-3.3736, -2.0081, 3.3650], [3.8881, -1.2671, 4.0955]], "species": ["Zn", "Zn", "Na", "Na", "Ag"], "frac_coords": [[0.3698, 0.3836, 0.8768], [0.6302, 0.6164, 0.1232], [0.1899, 0.2149, 0.4052], [0.8101, 0.7851, 0.5948], [0.0000, 0.0000, 0.0000]], "crystal_system": "monoclinic", "formation_enthalpy_0k_kj_per_mol_atoms": 2, "dft_energy_ev_per_atom": -1.5848, "dos_ef_per_ev_cell": 1.86}